# Ca2MnAl | Alexandria via LeMat-Bulk | GGA-PBE | relaxed
# formation energy = 0.115 eV/atom
data_Ca2MnAl
_chemical_formula_sum 'Ca4 Mn2 Al2'
_space_group_name_H-M_alt 'A m m 2'
_space_group_IT_number 38
_space_group_name_Hall 'A 2 -2'
_cell_length_a 4.6187
_cell_length_b 3.8655
_cell_length_c 12.1209
_cell_angle_alpha 90.00
_cell_angle_beta 90.00
_cell_angle_gamma 90.00
loop_
_atom_site_label
_atom_site_fract_x
_atom_site_fract_y
_atom_site_fract_z
Ca1 0.0000 0.0000 0.0000
Ca2 0.5000 0.0000 0.3063
Mn1 0.5000 0.0000 0.6013
Al1 0.0000 0.0000 0.7092

# Mg4Zn5 | Alexandria via LeMat-Bulk | GGA-PBE | relaxed
# excess energy over the best structure of this formula in the dataset = 0 meV/atom
# formation energy = -0.047 eV/atom
data_Mg4Zn5
_chemical_formula_sum 'Mg8 Zn10'
_space_group_name_H-M_alt 'I 4/m m m'
_space_group_IT_number 139
_space_group_name_Hall '-I 4 2'
_cell_length_a 8.8169
_cell_length_b 8.8169
_cell_length_c 4.1472
_cell_angle_alpha 90.00
_cell_angle_beta 90.00
_cell_angle_gamma 90.00
loop_
_atom_site_label
_atom_site_fract_x
_atom_site_fract_y
_atom_site_fract_z
Mg1 0.0000 0.3163 0.0000
Zn1 0.0000 0.0000 0.0000
Zn2 0.1598 0.1598 0.5000

The records above give, respectively, total moment values of 6.98 0.00 μB per cell.